1.
CeMgTlZn | PBE-GGA | optimized geometry

Properties
For the total magnetization, the calculation gives 0.9 Bohr magnetons per cell. As for the formation energy from the elements: -0.2215 eV/atom. Its space group is F-43m, No. 216. Its electronic total energy is -3.014 eV/atom.

The structure in POSCAR format:
```
CeMgTlZn
1.0
-3.734 1.224 -3.307
0.124 -1.818 -4.802
-3.386 -3.565 -1.485
Zn Tl Ce Mg
1 1 1 1
direct
0.000 0.000 0.000
0.500 0.500 0.500
0.750 0.750 0.750
0.250 0.250 0.250
```

---

2.
CeMgZrTl | PBE-GGA | optimized geometry

Properties
For the total magnetization, the calculation gives 1.2 Bohr magnetons per cell. As for the formation energy from the elements: 0.0260 eV/atom. Its space group is F-43m, No. 216. Its electronic total energy is -4.585 eV/atom.

The structure in POSCAR format:
```
CeMgZrTl
1.0
-2.096 -0.198 4.797
2.467 -2.584 3.832
2.218 2.648 3.939
Mg Ce Tl Zr
1 1 1 1
direct
0.250 0.250 0.250
0.500 0.500 0.500
0.750 0.750 0.750
0.000 0.000 0.000
```

---

3.
CeTmMg | PBE-GGA | optimized geometry

Properties
For the total magnetization, the calculation gives 0.9 Bohr magnetons per cell. As for the formation energy from the elements: 0.0679 eV/atom. Its space group is P3m1, No. 156. Its electronic total energy is -3.932 eV/atom. The value obtained for the energy above the most stable polymorph in this dataset is 0.062 eV/atom.

The structure in POSCAR format:
```
CeTmMg
1.0
3.376 0.000 0.000
-1.688 2.924 0.000
0.000 0.000 8.486
Tm Ce Mg
1 1 1
direct
0.667 0.333 0.329
0.333 0.667 0.666
0.000 0.000 0.004
```